# 1
Entry from Alexandria: crystalline Rb3ZnGa4 at its relaxed geometry (PBE).

Computed properties:
Mass density ... 3.6 g cm⁻³
ΔE_f ... 7 meV/atom

Cell lengths 6.023, 14.421, 6.394 Å; angles 90.00, 90.00, 90.00 degrees
Atoms (fractional coordinates):
Rb 0.250 0.007 0.215
Rb 0.250 0.493 0.215
Rb 0.250 0.750 0.508
Rb 0.750 0.250 0.492
Rb 0.750 0.507 0.785
Rb 0.750 0.993 0.785
Zn 0.250 0.250 0.324
Zn 0.750 0.750 0.676
Ga 0.014 0.750 0.010
Ga 0.250 0.155 0.699
Ga 0.250 0.345 0.699
Ga 0.486 0.750 0.010
Ga 0.514 0.250 0.990
Ga 0.750 0.655 0.301
Ga 0.750 0.845 0.301
Ga 0.986 0.250 0.990

=====

# 2
Entry from Alexandria: crystalline Rb3ZnGa at its relaxed geometry (PBE).

Computed properties:
Mass density ... 2.0 g cm⁻³
ΔE_f ... 327 meV/atom
ΔE to the lowest computed polymorph ... 0 kJ/mol of formula units

Cell lengths 6.909, 6.909, 6.909 Å; angles 90.00, 90.00, 90.00 degrees
Atoms (fractional coordinates):
Rb 0.000 0.000 0.500
Rb 0.000 0.500 0.000
Rb 0.500 0.000 0.000
Zn 0.500 0.500 0.500
Ga 0.000 0.000 0.000